1.
A plane-wave DFT calculation with GGA-PBE was carried out for an optimized crystal structure of Tc3SnN.

```
data_Tc3SnN
_chemical_formula_sum 'Tc12 Sn4 N4'
_cell_length_a 14.0812
_cell_length_b 2.8717
_cell_length_c 7.4914
_cell_angle_alpha 90.00
_cell_angle_beta 99.05
_cell_angle_gamma 90.00
_symmetry_space_group_name_H-M 'C 1 2/m 1'
_symmetry_Int_Tables_number 12
loop_
_symmetry_equiv_pos_as_xyz
'x,y,z'
'-x,-y,-z'
'-x,y,-z'
'x,-y,z'
'x+1/2,y+1/2,z'
'-x+1/2,-y+1/2,-z'
'-x+1/2,y+1/2,-z'
'x+1/2,-y+1/2,z'
loop_
_atom_site_label
_atom_site_type_symbol
_atom_site_fract_x
_atom_site_fract_y
_atom_site_fract_z
Tc1 Tc 0.0089 0.0000 0.1696
Tc2 Tc 0.1459 0.5000 0.0468
Tc3 Tc 0.1908 0.0000 0.3711
Sn1 Sn 0.1046 0.5000 0.6259
N1 N 0.2452 0.0000 0.1485
```

2.
A plane-wave DFT calculation with GGA-PBE was carried out for an optimized crystal structure of BAu2SO.

```
data_BAu2SO
_chemical_formula_sum 'B1 Au2 S1 O1'
_cell_length_a 4.8740
_cell_length_b 4.8740
_cell_length_c 3.4043
_cell_angle_alpha 90.00
_cell_angle_beta 90.00
_cell_angle_gamma 90.00
_symmetry_space_group_name_H-M 'P 4/m m m'
_symmetry_Int_Tables_number 123
_symmetry_space_group_name_Hall '-P 4 2'
loop_
_atom_site_label
_atom_site_type_symbol
_atom_site_fract_x
_atom_site_fract_y
_atom_site_fract_z
B1 B 0.0000 0.0000 0.0000
Au1 Au 0.0000 0.5000 0.5000
S1 S 0.5000 0.5000 0.5000
O1 O 0.5000 0.5000 0.0000
```

no.,DFT total energy (eV per cell),formation energy from raw total energies (eV/atom),DOS(E_F) (states/eV per cell)
1,-169.9,0.192,12.2
2,-17.2,1.028,1.8